LaNdCdCo (PBE-GGA, optimized geometry); symmetry = F-43m; E = -4.469 eV per atom; calculated formation energy = -40 meV/atom
1.0
0.000 3.719 3.719
3.719 0.000 3.719
3.719 3.719 0.000
La Nd Cd Co
1 1 1 1
Direct
0.000 0.000 0.000
0.500 0.500 0.500
0.750 0.750 0.750
0.250 0.250 0.250

---

Be2TlC (PBE-GGA, optimized geometry); ΔE to the lowest computed polymorph = 1328.2 meV per atom; symmetry = Fm-3m; E = -3.052 eV per atom; calculated formation energy = 1709 meV/atom
1.0
0.000 2.953 2.953
2.953 0.000 2.953
2.953 2.953 0.000
Be Tl C
2 1 1
Direct
0.250 0.250 0.250
0.750 0.750 0.750
0.000 0.000 0.000
0.500 0.500 0.500

---

Ac9Tc2Br14 (PBE-GGA, optimized geometry); raw formation energy = -1.3428 eV per atom; symmetry = P-3; E = -4.588 eV per atom
1.0
9.236 0.000 0.000
-4.618 7.998 0.000
0.000 0.000 12.672
Ac Tc Br
9 2 14
Direct
0.000 0.000 0.000
0.085 0.380 0.334
0.294 0.915 0.334
0.333 0.667 0.052
0.380 0.294 0.666
0.620 0.706 0.334
0.667 0.333 0.948
0.706 0.085 0.666
0.915 0.620 0.666
0.333 0.667 0.272
0.667 0.333 0.728
0.000 0.000 0.252
0.000 0.000 0.748
0.044 0.690 0.913
0.083 0.388 0.593
0.306 0.917 0.593
0.310 0.354 0.913
0.354 0.044 0.087
0.388 0.306 0.407
0.612 0.694 0.593
0.646 0.956 0.913
0.690 0.646 0.087
0.694 0.083 0.407
0.917 0.612 0.407
0.956 0.310 0.087

---

Tl2InRu (PBE-GGA, optimized geometry); ΔE to the lowest computed polymorph = 331.7 meV per atom; symmetry = I-4m2; E = -3.664 eV per atom; calculated formation energy = 522 meV/atom
1.0
-2.202 2.202 4.459
2.202 -2.202 4.459
2.202 2.202 -4.459
Tl In Ru
2 1 1
Direct
0.000 0.000 0.000
0.750 0.250 0.500
0.250 0.750 0.500
0.500 0.500 0.000

---

LiRuCl2 (PBE-GGA, optimized geometry); raw formation energy = -0.2552 eV per atom; ΔE to the lowest computed polymorph = 212.6 meV per atom; symmetry = Immm; E = -3.976 eV per atom
1.0
-1.791 3.119 3.436
1.791 -3.119 3.436
1.791 3.119 -3.436
Li Ru Cl
1 1 2
Direct
0.000 0.000 0.000
0.500 0.500 0.000
0.273 0.773 0.500
0.727 0.227 0.500

---

ThCoSi (PBE-GGA, optimized geometry); raw formation energy = -0.6649 eV per atom; symmetry = P-6m2; E = -7.314 eV per atom
1.0
4.041 0.000 0.000
-2.021 3.500 0.000
0.000 0.000 4.098
Th Co Si
1 1 1
Direct
0.000 0.000 0.000
0.667 0.333 0.500
0.333 0.667 0.500

---

Sc5TlHg4 (PBE-GGA, optimized geometry); symmetry = P4/mmm; E = -3.918 eV per atom; calculated formation energy = -394 meV/atom
1.0
3.541 0.000 0.000
0.000 3.541 0.000
0.000 0.000 17.664
Sc Tl Hg
5 1 4
Direct
0.000 0.000 0.000
0.000 0.000 0.198
0.000 0.000 0.394
0.000 0.000 0.606
0.000 0.000 0.802
0.500 0.500 0.500
0.500 0.500 0.099
0.500 0.500 0.295
0.500 0.500 0.705
0.500 0.500 0.901

---

CsRb4Au2 (PBE-GGA, optimized geometry); ΔE to the lowest computed polymorph = 10.9 meV per atom; symmetry = R-3m; E = -1.761 eV per atom; calculated formation energy = -149 meV/atom
1.0
3.079 1.777 12.170
-3.079 1.777 12.170
0.000 -3.555 12.170
Cs Rb Au
1 4 2
Direct
0.000 0.000 0.000
0.200 0.200 0.200
0.410 0.410 0.410
0.590 0.590 0.590
0.800 0.800 0.800
0.103 0.103 0.103
0.897 0.897 0.897

---

Ac2AlInPt6 (PBE-GGA, optimized geometry); symmetry = P-1; E = -5.986 eV per atom; calculated formation energy = -892 meV/atom
1.0
5.599 0.000 0.000
2.794 6.231 0.000
2.793 0.221 6.418
Ac Al In Pt
2 1 1 6
Direct
0.247 0.295 0.209
0.753 0.705 0.791
0.500 0.500 0.500
0.000 0.000 0.000
0.243 0.743 0.269
0.255 0.896 0.597
0.256 0.257 0.732
0.744 0.743 0.268
0.745 0.104 0.403
0.757 0.257 0.731

---

K2Np3Te6 (PBE-GGA, optimized geometry); raw formation energy = -0.8265 eV per atom; symmetry = C2/m; E = -6.269 eV per atom
1.0
3.869 -6.701 0.000
3.869 6.701 0.000
-2.581 0.000 8.376
K Np Te
2 3 6
Direct
0.167 0.833 0.000
0.833 0.167 0.000
0.000 0.000 0.500
0.333 0.667 0.500
0.667 0.333 0.500
0.070 0.402 0.706
0.266 0.266 0.294
0.402 0.070 0.706
0.598 0.930 0.294
0.734 0.734 0.706
0.930 0.598 0.294

---

Be2PtW (PBE-GGA, optimized geometry); ΔE to the lowest computed polymorph = 97.3 meV per atom; symmetry = Amm2; E = -6.806 eV per atom; calculated formation energy = -195 meV/atom
1.0
3.808 0.000 0.000
0.000 1.392 4.454
0.000 -1.392 4.454
Be Pt W
2 1 1
Direct
0.000 0.000 0.000
0.500 0.144 0.144
0.000 0.719 0.719
0.500 0.418 0.418

---

NaLa3Sm2Se6 (PBE-GGA, optimized geometry); raw formation energy = -1.8589 eV per atom; symmetry = C2/m; E = -5.729 eV per atom
1.0
3.689 -6.399 0.000
3.689 6.399 0.000
-2.467 0.000 6.911
Na La Sm Se
1 3 2 6
Direct
0.000 0.000 0.000
0.165 0.835 0.500
0.500 0.500 0.500
0.835 0.165 0.500
0.334 0.666 0.000
0.666 0.334 0.000
0.080 0.413 0.241
0.252 0.252 0.762
0.413 0.080 0.241
0.587 0.920 0.759
0.748 0.748 0.238
0.920 0.587 0.759

---

NaY2Co (PBE-GGA, optimized geometry); ΔE to the lowest computed polymorph = 242.5 meV per atom; symmetry = Fm-3m; E = -5.115 eV per atom; calculated formation energy = 223 meV/atom
1.0
0.000 3.565 3.565
3.565 0.000 3.565
3.565 3.565 0.000
Na Y Co
1 2 1
Direct
0.000 0.000 0.000
0.250 0.250 0.250
0.750 0.750 0.750
0.500 0.500 0.500

---

CrSbS2 (PBE-GGA, optimized geometry); raw formation energy = -0.1978 eV per atom; symmetry = Cmcm; E = -5.698 eV per atom
1.0
1.618 -13.431 0.000
1.618 13.431 0.000
0.000 0.000 3.626
Cr Sb S
2 2 4
Direct
0.190 0.810 0.750
0.810 0.190 0.250
0.455 0.545 0.750
0.545 0.455 0.250
0.283 0.717 0.750
0.375 0.625 0.250
0.625 0.375 0.750
0.717 0.283 0.250

---

SmZn2Cu2Si (PBE-GGA, optimized geometry); raw formation energy = -0.1021 eV per atom; symmetry = P4/mmm; E = -3.583 eV per atom
1.0
4.402 0.000 0.000
0.000 4.402 0.000
0.000 0.000 5.617
Sm Zn Cu Si
1 2 2 1
Direct
0.000 0.000 0.000
0.500 0.500 0.227
0.500 0.500 0.773
0.000 0.500 0.500
0.500 0.000 0.500
0.000 0.000 0.500

---

Ca2GaHg (PBE-GGA, optimized geometry); symmetry = I-42d; E = -2.016 eV per atom; calculated formation energy = -183 meV/atom
1.0
-4.121 4.121 3.566
4.121 -4.121 3.566
4.121 4.121 -3.566
Ca Ga Hg
4 2 2
Direct
0.118 0.625 0.993
0.375 0.368 0.493
0.632 0.125 0.007
0.875 0.882 0.507
0.000 0.000 0.000
0.750 0.250 0.500
0.250 0.750 0.500
0.500 0.500 0.000

---

Ca2Ag2Pt (PBE-GGA, optimized geometry); ΔE to the lowest computed polymorph = 230.4 meV per atom; symmetry = P4/mbm; E = -3.289 eV per atom; calculated formation energy = -140 meV/atom
1.0
7.733 0.000 0.000
0.000 7.733 0.000
0.000 0.000 4.170
Ca Ag Pt
4 4 2
Direct
0.171 0.329 0.000
0.329 0.829 0.000
0.671 0.171 0.000
0.829 0.671 0.000
0.129 0.629 0.500
0.371 0.129 0.500
0.629 0.871 0.500
0.871 0.371 0.500
0.000 0.000 0.000
0.500 0.500 0.000

---

Cr2MoH2 (PBE-GGA, optimized geometry); symmetry = P4/mbm; E = -6.972 eV per atom
1.0
5.615 0.000 0.000
0.000 5.615 0.000
0.000 0.000 2.954
Cr Mo H
4 2 4
Direct
0.143 0.357 0.000
0.357 0.857 0.000
0.643 0.143 0.000
0.857 0.643 0.000
0.000 0.000 0.500
0.500 0.500 0.500
0.217 0.717 0.500
0.283 0.217 0.500
0.717 0.783 0.500
0.783 0.283 0.500

---

Cs2Tl6CdRh (PBE-GGA, optimized geometry); symmetry = P-3m1; E = -2.404 eV per atom; calculated formation energy = 13 meV/atom
1.0
7.665 0.000 0.000
-3.833 6.638 0.000
0.000 0.000 6.823
Cs Tl Cd Rh
2 6 1 1
Direct
0.333 0.667 0.177
0.667 0.333 0.823
0.185 0.369 0.691
0.185 0.815 0.691
0.369 0.185 0.309
0.631 0.815 0.691
0.815 0.185 0.309
0.815 0.631 0.309
0.000 0.000 0.000
0.000 0.000 0.500

---

Rb2SbI (PBE-GGA, optimized geometry); raw formation energy = -0.4593 eV per atom; ΔE to the lowest computed polymorph = 52.3 meV per atom; symmetry = I-42d; E = -2.361 eV per atom
1.0
-4.999 4.999 3.678
4.999 -4.999 3.678
4.999 4.999 -3.678
Rb Sb I
4 2 2
Direct
0.117 0.625 0.992
0.375 0.367 0.492
0.633 0.125 0.008
0.875 0.883 0.508
0.250 0.750 0.500
0.500 0.500 0.000
0.000 0.000 0.000
0.750 0.250 0.500

---

Asked for DOS at the Fermi energy across the records above, the calculation gives 3.33 1.50 16.42 3.44 2.95 3.75 10.65 5.86 3.45 26.74 1.75 6.25 3.12 4.19 2.75 8.69 3.58 7.17 8.85 7.37 states/eV/cell in order.